# AcZnInAu2 PBE-GGA optimized geometry
data_AcZnInAu2
_cell_length_a 5.876
_cell_length_b 6.784
_cell_length_c 6.065
_cell_angle_alpha 90.00
_cell_angle_beta 90.00
_cell_angle_gamma 90.00
_space_group_name_H-M_alt 'P m m a'
_space_group_IT_number 51
loop_
_space_group_symop_operation_xyz
'x,y,z'
'-x,-y,-z'
'-x+1/2,-y,z'
'x+1/2,y,-z'
'x+1/2,-y,-z'
'-x+1/2,y,z'
'-x,y,-z'
'x,-y,z'
loop_
_atom_site_label
_atom_site_type_symbol
_atom_site_fract_x
_atom_site_fract_y
_atom_site_fract_z
Ac1 Ac 0.250 0.000 0.250
Zn1 Zn 0.000 0.500 0.000
In1 In 0.250 0.500 0.416
Au1 Au 0.250 0.216 0.765
# - ΔH_f (0 K): -0.487 eV/atom
# - Crystal system: orthorhombic
# - N(E_F): 2.378 states/eV/f.u.